The following is a DFT calculation (GGA-PBE) of a relaxed structure of Ce2ZnIr.

Cell lengths 4.1127, 4.1127, 7.6027 Å; angles 74.31, 74.31, 60.00 degrees
Last column: nearest neighbours and their distance in Å.
Atoms (fractional coordinates):
Ce: 0.0704 0.0704 0.7889  3 Ir 2.84, 3 Zn 3.17
Ir: 0.6655 0.6655 0.0036  6 Ce 2.80-2.84
Zn: 0.5008 0.5008 0.4976  6 Ce 3.16-3.17
Ce: 0.2634 0.2634 0.2099  3 Ir 2.80

Values from the calculation:
**E**: -5.870 eV/atom
**E_form**: -0.369 eV per atom
**Density**: 8.4 g/cm³